# CeNiAs2O8

An optimized crystal structure of CeNiAs2O8 (GGA+U, the Alexandria database).

Unit cell a=5.647 b=5.647 c=6.109 alpha=90.00 beta=90.00 gamma=120.00
Fractional coordinates of all 12 atoms:
Ce: 0.000 0.000 0.000
Ni: 0.000 0.000 0.500
As: 0.667 0.333 0.361
As: 0.333 0.667 0.639
O: 0.834 0.166 0.257
O: 0.834 0.668 0.257
O: 0.332 0.166 0.257
O: 0.668 0.834 0.743
O: 0.333 0.667 0.370
O: 0.667 0.333 0.630
O: 0.166 0.834 0.743
O: 0.166 0.332 0.743

Properties
V = 169 Å³/cell
Space-group type = P-3m1
Calculated total energy = -6.370 eV per atom